# 1
# Mg2AgCl

An optimized crystal structure of Mg2AgCl (PBE-GGA, the Alexandria database).

Properties
Its space group is P4/mmm, No. 123. The energy above the most stable polymorph in this dataset comes out at 226.7 meV per atom.

a = 3.077 Å, b = 5.157 Å, c = 5.157 Å
α = 90.00°, β = 90.00°, γ = 90.00°
Element x y z (fractional)
Mg 0.000 0.500 0.500
Mg 0.000 0.000 0.000
Cl 0.500 0.000 0.500
Ag 0.500 0.500 0.000


# 2
# MgAgCl2

An optimized crystal structure of MgAgCl2 (PBE-GGA, the Alexandria database).

Properties
Its space group is I-4m2, No. 119. The energy above the most stable polymorph in this dataset comes out at 528.2 meV per atom.

a = 6.858 Å, b = 6.858 Å, c = 6.858 Å
α = 147.28°, β = 147.28°, γ = 46.94°
Element x y z (fractional)
Ag 0.750 0.250 0.500
Cl 0.000 0.000 0.000
Cl 0.250 0.750 0.500
Mg 0.500 0.500 0.000


# 3
# MgAg6Cl12

An optimized crystal structure of MgAg6Cl12 (PBE-GGA, the Alexandria database).

Properties
Its space group is R-3, No. 148.

a = 8.344 Å, b = 8.342 Å, c = 8.343 Å
α = 105.33°, β = 105.36°, γ = 105.34°
Element x y z (fractional)
Cl 0.069 0.322 0.033
Cl 0.414 0.217 0.744
Cl 0.586 0.783 0.256
Cl 0.678 0.966 0.930
Cl 0.217 0.744 0.414
Cl 0.744 0.414 0.217
Cl 0.783 0.256 0.586
Cl 0.256 0.586 0.783
Cl 0.931 0.678 0.967
Cl 0.322 0.034 0.070
Cl 0.966 0.930 0.678
Cl 0.034 0.070 0.322
Ag 0.304 0.888 0.747
Ag 0.696 0.112 0.253
Ag 0.888 0.747 0.304
Ag 0.747 0.304 0.888
Ag 0.253 0.696 0.112
Ag 0.112 0.253 0.696
Mg 0.000 0.000 0.000


The following E_form (uncorrected) values (in eV per atom) correspond, in order, to the records above: -0.392; -0.530; -0.577.